Entry 1:
Cs2CdHgAu2 | PBE-GGA | relaxed

```
Cs2CdHgAu2
1.0
-3.5483 8.5328 3.5615
3.5483 -8.5328 3.5615
3.5483 8.5328 -3.5615
Cs Cd Hg Au
4 2 2 4
Direct
0.1707 0.2427 0.4133
0.3293 0.7427 0.0720
0.6707 0.2573 0.9280
0.8293 0.7573 0.5867
0.2500 0.7500 0.5000
0.7500 0.2500 0.5000
0.2500 0.2500 0.0000
0.7500 0.7500 0.0000
0.0974 0.7368 0.8342
0.4026 0.2368 0.6395
0.5974 0.7632 0.3605
0.9026 0.2632 0.1658
```

**Energy relative to the elements**: -243 meV per atom
**Total magnetization**: 0.00 μB per cell
**Crystal system**: orthorhombic

=====

Entry 2:
Cs3Cd9HgAu2 | PBE-GGA | relaxed

```
Cs3Cd9HgAu2
1.0
7.8485 0.0000 0.0000
-3.9243 6.7970 0.0000
0.0000 0.0000 9.6335
Cs Cd Hg Au
3 9 1 2
Direct
0.0000 0.0000 0.0000
0.3333 0.6667 0.6673
0.6667 0.3333 0.3327
0.0000 0.5000 0.0000
0.1716 0.3433 0.3287
0.1716 0.8284 0.3287
0.3433 0.1716 0.6713
0.5000 0.0000 0.0000
0.5000 0.5000 0.0000
0.6567 0.8284 0.3287
0.8284 0.1716 0.6713
0.8284 0.6567 0.6713
0.0000 0.0000 0.5000
0.3333 0.6667 0.1585
0.6667 0.3333 0.8415
```

**Energy relative to the elements**: -70 meV per atom
**Total magnetization**: 0.00 μB per cell
**Crystal system**: trigonal

=====

Entry 3:
Cs2CdHg12Au3 | PBE-GGA | relaxed

```
Cs2CdHg12Au3
1.0
4.6434 2.6809 9.4523
-4.6434 2.6809 9.4523
0.0000 -5.3618 9.4523
Cs Cd Hg Au
2 1 12 3
Direct
0.1381 0.1381 0.1381
0.8619 0.8619 0.8619
0.5000 0.5000 0.5000
0.1505 0.1505 0.5338
0.1505 0.5338 0.1505
0.1655 0.5678 0.5678
0.4322 0.4322 0.8345
0.4322 0.8345 0.4322
0.4662 0.8495 0.8495
0.5338 0.1505 0.1505
0.5678 0.1655 0.5678
0.5678 0.5678 0.1655
0.8345 0.4322 0.4322
0.8495 0.4662 0.8495
0.8495 0.8495 0.4662
0.0000 0.5000 0.5000
0.5000 0.0000 0.5000
0.5000 0.5000 0.0000
```

**Energy relative to the elements**: -48 meV per atom
**Total magnetization**: 0.00 μB per cell
**Crystal system**: trigonal

=====

Entry 4:
Cs2Cd2HgAu2 | PBE-GGA | relaxed

```
Cs2Cd2HgAu2
1.0
6.0189 -2.6409 0.0000
6.0189 2.6409 0.0000
-5.1950 0.0000 8.2039
Cs Cd Hg Au
2 2 1 2
Direct
0.2166 0.2166 0.2779
0.7834 0.7834 0.7221
0.4128 0.4128 0.0742
0.5872 0.5872 0.9258
0.0000 0.0000 0.5000
0.1264 0.1264 0.8495
0.8736 0.8736 0.1505
```

**Energy relative to the elements**: -217 meV per atom
**Total magnetization**: 0.00 μB per cell
**Crystal system**: monoclinic

=====

Entry 5:
Cs2CdHgAu | PBE-GGA | relaxed

```
Cs2CdHgAu
1.0
6.8746 0.0000 0.0000
0.0000 6.8746 0.0000
0.0000 0.0000 5.4139
Cs Cd Hg Au
2 1 1 1
Direct
0.0000 0.5000 0.0000
0.5000 0.0000 0.0000
0.0000 0.0000 0.5000
0.5000 0.5000 0.5000
0.0000 0.0000 0.0000
```

**Energy relative to the elements**: -172 meV per atom
**Distance to the lowest polymorph of the same formula**: 4.7 kJ per mole of atoms
**Total magnetization**: 0.00 μB per cell
**Crystal system**: tetragonal

=====

Entry 6:
CsCdHg2Au | PBE-GGA | relaxed

```
CsCdHg2Au
1.0
5.5882 0.0000 0.0000
0.0000 5.5882 0.0000
0.0000 0.0000 5.4541
Cs Cd Hg Au
1 1 2 1
Direct
0.0000 0.0000 0.0000
0.5000 0.5000 0.0000
0.0000 0.5000 0.5000
0.5000 0.0000 0.5000
0.5000 0.5000 0.5000
```

**Energy relative to the elements**: -161 meV per atom
**Distance to the lowest polymorph of the same formula**: 3.9 kJ per mole of atoms
**Total magnetization**: 0.00 μB per cell
**Crystal system**: tetragonal

=====

Entry 7:
CsCdHgAu | PBE-GGA | relaxed

```
CsCdHgAu
1.0
4.2851 -2.5199 0.0000
4.2851 2.5199 0.0000
-2.8855 0.0000 6.5017
Cs Cd Hg Au
1 1 1 1
Direct
0.0000 0.0000 0.0000
0.4762 0.4762 0.4245
0.2004 0.2004 0.5977
0.8083 0.8083 0.4155
```

**Energy relative to the elements**: -227 meV per atom
**Distance to the lowest polymorph of the same formula**: 0.0 kJ per mole of atoms
**Total magnetization**: 0.00 μB per cell
**Crystal system**: monoclinic

=====

Entry 8:
CsCd2Hg4Au | PBE-GGA | relaxed

```
CsCd2Hg4Au
1.0
2.4135 1.3934 11.6744
-2.4135 1.3934 11.6744
0.0000 -2.7869 11.6744
Cs Cd Hg Au
1 2 4 1
Direct
0.0000 0.0000 0.0000
0.2313 0.2313 0.2313
0.7687 0.7687 0.7687
0.1365 0.1365 0.1365
0.4053 0.4053 0.4053
0.5947 0.5947 0.5947
0.8635 0.8635 0.8635
0.5000 0.5000 0.5000
```

**Energy relative to the elements**: -71 meV per atom
**Total magnetization**: 0.00 μB per cell
**Crystal system**: trigonal

=====

> Look up the total magnetization of the first one.

0.00 μB per cell